Entry 1:
Compound: Ga2ReRu3
Source: the Alexandria database
Functional: PBE-GGA
Structure: relaxed

Summary:
For the magnetic moment, the calculation gives 0.00 μB/cell. The calculation puts the calculated total energy at -7.904 eV/atom. The space-group type is P4/mmm (123). The calculated volume comes out at 84 Å³/cell. As for the crystal system: tetragonal. As for the formation energy from the elements: -0.182 eV per atom.

abc: 2.949 2.949 9.697
angles: 90.00 90.00 90.00
Atoms (fractional coordinates):
Ga (0.500, 0.500, 0.842)
Ga (0.500, 0.500, 0.158)
Re (0.500, 0.500, 0.500)
Ru (0.000, 0.000, 0.000)
Ru (0.000, 0.000, 0.675)
Ru (0.000, 0.000, 0.325)


Entry 2:
Compound: VP3S
Source: the Alexandria database
Functional: PBE-GGA
Structure: relaxed

Summary:
For the magnetic moment, the calculation gives 0.29 μB/cell. Its distance to the lowest polymorph of the same formula is 0.000 eV/atom. The calculation puts the calculated total energy at -5.376 eV/atom. The space-group type is Pm-3m (221). The calculated volume comes out at 91 Å³/cell. As for the crystal system: cubic. For the formation energy without anion corrections, the calculation gives 0.5190 eV/atom.

abc: 4.501 4.501 4.501
angles: 90.00 90.00 90.00
Atoms (fractional coordinates):
P (0.000, 0.500, 0.000)
P (0.000, 0.000, 0.500)
P (0.500, 0.000, 0.000)
S (0.500, 0.500, 0.500)
V (0.000, 0.000, 0.000)


Entry 3:
Compound: CaTm2Sn
Source: the Alexandria database
Functional: PBE-GGA
Structure: relaxed

Summary:
For the magnetic moment, the calculation gives 0.00 μB/cell. Its distance to the lowest polymorph of the same formula is 0.000 eV/atom. The calculation puts the calculated total energy at -4.061 eV/atom. The space-group type is P4/mmm (123). The calculated volume comes out at 112 Å³/cell. As for the crystal system: tetragonal. As for the formation energy from the elements: -0.324 eV per atom.

abc: 4.751 4.862 4.862
angles: 90.00 90.00 90.00
Atoms (fractional coordinates):
Ca (0.500, 0.500, 0.500)
Tm (0.000, 0.000, 0.500)
Tm (0.000, 0.500, 0.000)
Sn (0.500, 0.000, 0.000)


Entry 4:
Compound: RbSmAg2
Source: the Alexandria database
Functional: PBE-GGA
Structure: relaxed

Summary:
For the magnetic moment, the calculation gives 0.00 μB/cell. The calculation puts the calculated total energy at -2.928 eV/atom. The space-group type is P4/mmm (123). The calculated volume comes out at 128 Å³/cell. As for the crystal system: tetragonal. As for the formation energy from the elements: -0.080 eV per atom.

abc: 3.880 3.880 8.490
angles: 90.00 90.00 90.00
Atoms (fractional coordinates):
Rb (0.500, 0.500, 0.500)
Ag (0.000, 0.000, 0.822)
Ag (0.000, 0.000, 0.178)
Sm (0.500, 0.500, 0.000)


Entry 5:
Compound: Pr6In3Cu
Source: the Alexandria database
Functional: PBE-GGA
Structure: relaxed

Summary:
For the magnetic moment, the calculation gives 1.00 μB/cell. The calculation puts the calculated total energy at -4.343 eV/atom. The space-group type is Pnnm (58). The calculated volume comes out at 616 Å³/cell. As for the crystal system: orthorhombic. As for the formation energy from the elements: -0.244 eV per atom.

abc: 5.476 9.525 11.813
angles: 90.00 90.00 90.00
Atoms (fractional coordinates):
Pr (0.500, 0.160, 0.923)
Pr (0.500, 0.175, 0.574)
Pr (0.500, 0.496, 0.262)
Pr (0.500, 0.504, 0.738)
Pr (0.500, 0.825, 0.426)
Pr (0.500, 0.840, 0.077)
Pr (0.000, 0.340, 0.423)
Pr (0.000, 0.325, 0.074)
Pr (0.000, 0.004, 0.762)
Pr (0.000, 0.996, 0.238)
Pr (0.000, 0.675, 0.926)
Pr (0.000, 0.660, 0.577)
In (0.500, 0.836, 0.746)
In (0.500, 0.500, 0.000)
In (0.500, 0.164, 0.254)
In (0.000, 0.664, 0.246)
In (0.000, 0.000, 0.500)
In (0.000, 0.336, 0.754)
Cu (0.500, 0.500, 0.500)
Cu (0.000, 0.000, 0.000)


Entry 6:
Compound: KAgRu
Source: the Alexandria database
Functional: PBE-GGA
Structure: relaxed

Summary:
For the magnetic moment, the calculation gives 0.57 μB/cell. Its distance to the lowest polymorph of the same formula is 0.000 eV/atom. The calculation puts the calculated total energy at -3.618 eV/atom. The space-group type is Imm2 (44). The calculated volume comes out at 72 Å³/cell. As for the crystal system: orthorhombic. As for the formation energy from the elements: 0.791 eV per atom.

abc: 6.405 6.405 6.405
angles: 155.69 138.20 48.95
Atoms (fractional coordinates):
Ag (0.053, 0.053, 0.000)
K (0.333, 0.333, 0.000)
Ru (0.613, 0.613, 0.000)


Entry 7:
Compound: K5RbCdHg2
Source: the Alexandria database
Functional: PBE-GGA
Structure: relaxed

Summary:
For the magnetic moment, the calculation gives 0.00 μB/cell. The calculation puts the calculated total energy at -0.950 eV/atom. The space-group type is P4/mmm (123). The calculated volume comes out at 555 Å³/cell. As for the crystal system: tetragonal. As for the formation energy from the elements: -0.064 eV per atom.

abc: 6.674 6.674 12.453
angles: 90.00 90.00 90.00
Atoms (fractional coordinates):
K (0.000, 0.000, 0.500)
K (0.000, 0.500, 0.829)
K (0.500, 0.000, 0.171)
K (0.000, 0.500, 0.171)
K (0.500, 0.000, 0.829)
Rb (0.500, 0.500, 0.500)
Cd (0.000, 0.000, 0.000)
Hg (0.000, 0.000, 0.234)
Hg (0.000, 0.000, 0.766)


Entry 8:
Compound: ReTcPt2
Source: the Alexandria database
Functional: PBE-GGA
Structure: relaxed

Summary:
For the magnetic moment, the calculation gives 0.00 μB/cell. Its distance to the lowest polymorph of the same formula is 0.000 eV/atom. The calculation puts the calculated total energy at -8.862 eV/atom. The space-group type is P4mm (99). The calculated volume comes out at 61 Å³/cell. As for the crystal system: tetragonal. As for the formation energy from the elements: -0.138 eV per atom.

abc: 2.766 2.766 7.925
angles: 90.00 90.00 90.00
Atoms (fractional coordinates):
Re (0.000, 0.000, 0.510)
Tc (0.500, 0.500, 0.740)
Pt (0.000, 0.000, 0.990)
Pt (0.500, 0.500, 0.260)